Here is Pm3Be4Si2Pt2 after structural relaxation from Alexandria via LeMat-Bulk. Energies are from PBE.

Geometry as extended XYZ:
```
11
Lattice="3.922 0.000 0.000 -1.961 3.396 0.000 0.000 0.000 15.048" Properties=species:S:1:pos:R:3 pbc="T T T"
Pm 0.000 0.000 10.795
Pm 0.000 0.000 0.000
Pt 1.961 1.132 6.410
Be 1.961 1.132 2.091
Be 1.961 1.132 8.712
Be 0.000 2.264 6.336
Si 0.000 2.264 2.097
Pt 0.000 2.264 8.638
Pm 0.000 0.000 4.253
Si 1.961 1.132 12.951
Be 0.000 2.264 12.957
```

E	-58.86	eV per cell
theoretical density	7.60	g/cm³
symmetry	No. 164



Here is NaUSn2 after structural relaxation from Alexandria via LeMat-Bulk. Energies are from PBE.

Geometry as extended XYZ:
```
4
Lattice="-0.091 3.224 0.083 -1.329 1.640 -2.441 -10.737 1.197 4.517" Properties=species:S:1:pos:R:3 pbc="T T T"
Na 0.000 0.000 0.000
Sn -8.049 1.308 3.128
U -6.078 3.030 1.079
Sn -4.108 4.752 -0.969
```

energy of formation from the pure elements	76.2	meV/atom
theoretical density	7.94	g/cm³
symmetry	No. 166



Here is AcLa4Ho4 after structural relaxation from Alexandria via LeMat-Bulk. Energies are from PBE.

Geometry as extended XYZ:
```
18
Lattice="1.307 4.402 10.016 -5.829 -5.366 -5.649 8.351 -6.748 2.506" Properties=species:S:1:pos:R:3 pbc="T T T"
La 1.943 -9.070 -2.298
Ho -2.856 -3.976 0.021
La 0.837 -5.665 5.005
La 0.655 0.497 3.107
La -0.473 -6.515 -1.149
La 2.993 -2.046 1.869
La 4.303 -1.197 8.023
Ho 4.287 -8.176 0.315
Ho 1.924 -5.652 1.443
La 1.886 1.358 9.171
Ho -0.457 0.465 6.559
Ac 4.284 -4.699 4.168
Ho 6.685 -3.736 6.853
Ho 6.648 -7.235 2.905
Ho -2.819 -0.477 3.969
Ac -0.455 -3.013 2.706
Ho 1.905 -2.060 5.431
La 3.174 -8.209 3.767
```

energy of formation from the pure elements	39.3	meV/atom
theoretical density	7.58	g/cm³
symmetry	No. 2



Here is PuThOs4 after structural relaxation from Alexandria via LeMat-Bulk. Energies are from PBE.

Geometry as extended XYZ:
```
6
Lattice="5.407 0.000 0.000 2.704 4.683 0.000 2.704 1.561 4.415" Properties=species:S:1:pos:R:3 pbc="T T T"
Os 5.407 1.555 2.762
Os 5.407 3.122 0.546
Os 6.764 3.905 2.762
Th 2.704 1.561 1.104
Pu 0.000 0.000 0.000
Os 4.050 3.905 2.762
```

energy of formation from the pure elements	-167.3	meV/atom
theoretical density	18.37	g/cm³
symmetry	No. 216



Here is RbSrMg2Ni after structural relaxation from Alexandria via LeMat-Bulk. Energies are from PBE.

Geometry as extended XYZ:
```
5
Lattice="-1.988 -2.230 -4.400 4.089 -3.399 -0.125 -2.919 -3.627 3.157" Properties=species:S:1:pos:R:3 pbc="T T T"
Mg -0.994 -1.115 -2.200
Mg 2.044 -1.700 -0.063
Ni 0.000 0.000 0.000
Rb -0.410 -4.628 -0.684
Sr -1.460 -1.814 1.579
```

energy of formation from the pure elements	109.8	meV/atom
theoretical density	2.93	g/cm³
symmetry	No. 123



Here is SmPuNp2Te5 after structural relaxation from Alexandria via LeMat-Bulk. Energies are from PBE.

Geometry as extended XYZ:
```
9
Lattice="5.595 0.000 0.000 0.000 5.595 0.000 0.000 0.000 11.795" Properties=species:S:1:pos:R:3 pbc="T T T"
Pu 0.000 0.000 0.000
Te 0.000 0.000 8.866
Sm 0.000 0.000 5.897
Np 2.797 2.797 7.919
Te 2.797 0.000 5.897
Te 0.000 2.797 5.897
Te 2.797 2.797 0.000
Te 0.000 0.000 2.929
Np 2.797 2.797 3.876
```

E	-63.00	eV per cell
theoretical density	6.78	g/cm³
symmetry	No. 123



Here is Sr2Ir2Cl after structural relaxation from Alexandria via LeMat-Bulk. Energies are from PBE.

Geometry as extended XYZ:
```
10
Lattice="8.486 0.000 0.000 0.000 8.486 0.000 0.000 0.000 3.813" Properties=species:S:1:pos:R:3 pbc="T T T"
Sr 2.674 1.569 1.906
Sr 5.812 6.917 1.906
Ir 5.081 0.838 0.000
Cl 4.243 4.243 0.000
Ir 3.405 7.648 0.000
Sr 1.569 5.812 1.906
Sr 6.917 2.674 1.906
Ir 7.648 5.081 0.000
Ir 0.838 3.405 0.000
Cl 0.000 0.000 0.000
```

theoretical density	7.20	g/cm³
symmetry	No. 127
polymorph energy (0 for the lowest one)	6.13	kJ/mol of atoms



Here is LiH6OsPb2 after structural relaxation from Alexandria via LeMat-Bulk. Energies are from PBE.

Geometry as extended XYZ:
```
10
Lattice="-1.774 1.269 4.817 -3.890 -3.304 -0.562 4.435 -1.580 2.050" Properties=species:S:1:pos:R:3 pbc="T T T"
H -0.875 -0.956 1.156
Pb -2.495 -1.743 4.054
H -3.021 -2.779 0.846
Li -0.887 0.634 2.409
H -0.655 0.034 4.328
Os 0.000 0.000 0.000
H -0.354 -2.660 5.148
H -0.574 -3.650 1.977
H 1.792 -0.837 5.458
Pb 1.265 -1.873 2.251
```

E	-40.45	eV per cell
theoretical density	8.49	g/cm³
symmetry	No. 164



Here is Er2MgSc2 after structural relaxation from Alexandria via LeMat-Bulk. Energies are from PBE.

Geometry as extended XYZ:
```
10
Lattice="2.916 8.014 2.894 -2.916 8.014 2.894 0.000 4.592 7.320" Properties=species:S:1:pos:R:3 pbc="T T T"
Er 0.883 5.939 3.544
Er -0.883 8.235 7.204
Sc -1.912 10.746 5.321
Er -0.883 14.681 9.563
Mg -1.068 11.458 8.384
Mg 1.068 9.162 4.724
Er 0.883 12.385 5.903
Sc 1.912 13.042 8.981
Sc -1.912 7.579 4.126
Sc 1.912 9.875 7.786
```

energy of formation from the pure elements	22.2	meV/atom
theoretical density	5.63	g/cm³
symmetry	No. 15
polymorph energy (0 for the lowest one)	0.00	kJ/mol of atoms



Here is NdCrPd4 after structural relaxation from Alexandria via LeMat-Bulk. Energies are from PBE.

Geometry as extended XYZ:
```
6
Lattice="5.384 0.000 0.000 2.692 4.663 0.000 2.692 1.554 4.396" Properties=species:S:1:pos:R:3 pbc="T T T"
Pd 6.737 3.889 2.750
Pd 4.032 3.889 2.750
Pd 5.384 3.109 0.542
Pd 5.384 1.547 2.750
Nd 2.692 1.554 1.099
Cr 0.000 0.000 0.000
```

energy of formation from the pure elements	-351.3	meV/atom
theoretical density	9.36	g/cm³
symmetry	No. 216



Here is Pm2Ga5Rh after structural relaxation from Alexandria via LeMat-Bulk. Energies are from PBE.

Geometry as extended XYZ:
```
8
Lattice="-3.740 -2.573 -1.031 3.639 -4.408 -2.199 0.240 -2.573 5.552" Properties=species:S:1:pos:R:3 pbc="T T T"
Ga 2.749 -4.949 2.377
Pm -0.051 -3.490 -1.615
Ga 2.649 -3.874 0.056
Ga 1.229 -3.107 3.296
Pm -1.750 -2.573 2.261
Ga -1.870 -1.286 -0.515
Rh 0.000 0.000 0.000
Ga 1.129 -2.031 0.976
```

energy of formation from the pure elements	-525.5	meV/atom
theoretical density	7.05	g/cm³
symmetry	No. 123
polymorph energy (0 for the lowest one)	7.29	kJ/mol of atoms



Here is BeCuAs2 after structural relaxation from Alexandria via LeMat-Bulk. Energies are from PBE.

Geometry as extended XYZ:
```
4
Lattice="-1.661 -0.568 -4.498 2.391 -4.180 -0.356 -2.067 -1.261 0.922" Properties=species:S:1:pos:R:3 pbc="T T T"
Cu 0.162 -2.720 0.283
As 0.365 -2.374 -2.427
Be -1.864 -0.915 -1.788
As 0.000 0.000 0.000
```

energy of formation from the pure elements	369.6	meV/atom
theoretical density	6.11	g/cm³
symmetry	No. 123



no.,Fermi-level density of states (states/eV/atom)
1,0.546
2,1.344
3,1.651
4,1.513
5,0.477
6,4.420
7,0.136
8,0.266
9,1.687
10,0.755
11,0.488
12,0.230